PBE-GGA NaPdI, relaxed; D(E_F) = 0.081 states/eV per atom; distance to the lowest polymorph of the same formula = 0.18 eV/f.u.
1.0
4.097 0.000 0.000
0.003 6.251 0.000
0.010 0.134 6.713
Na Pd I
2 2 2
Direct
0.250 0.175 0.284
0.750 0.825 0.716
0.250 0.610 0.410
0.750 0.390 0.590
0.249 0.212 0.793
0.751 0.788 0.207